No. 1
Li2CuMo: relaxed, PBE.

Unit cell a=2.5764 b=2.5764 c=8.4268 alpha=90.00 beta=90.00 gamma=90.00
Closest atoms and distances in Å follow each position.
Space group P4/mmm (No. 123)
Asymmetric unit:
Li 0.0000 0.0000 0.2288  4 Li 2.58, 4 Cu 2.65
Cu 0.5000 0.5000 0.0000  4 Cu 2.58, 8 Li 2.65
Mo 0.5000 0.5000 0.5000  4 Mo 2.58

Values from the calculation:
energy above the lowest structure with this stoichiometry = 0.031 eV/atom
formation enthalpy at 0 K = 0.231 eV/atom

No. 2
ZrTeSeI2: relaxed, PBE.

Unit cell a=5.6313 b=5.6313 c=5.4774 alpha=90.00 beta=90.00 gamma=90.00
Closest atoms and distances in Å follow each position.
Space group P4/mmm (No. 123)
Asymmetric unit:
Zr 0.0000 0.0000 0.0000  8 I 3.93, 4 Te 3.98
Te 0.5000 0.5000 0.0000  2 Se 2.74
Se 0.5000 0.5000 0.5000  2 Te 2.74, 4 I 2.82
I 0.0000 0.5000 0.5000  2 Se 2.82

Values from the calculation:
energy above the lowest structure with this stoichiometry = 0.662 eV/atom
uncorrected formation energy = 0.6384 eV/atom

No. 3
Rb4La3DyS8: relaxed, PBE.

Unit cell a=8.5268 b=8.5268 c=23.0786 alpha=90.00 beta=90.00 gamma=120.00
Closest atoms and distances in Å follow each position.
Space group R-3m (No. 166, hexagonal axes)
Asymmetric unit:
Rb 0.0000 0.0000 0.0000  6 S 3.46
Rb 0.0000 0.5000 0.0000  6 S 3.37-3.38
La 0.0000 0.5000 0.5000  6 S 2.90-2.92
Dy 0.0000 0.0000 0.5000  6 S 2.81
S 0.0000 0.0000 0.2330  3 La 2.90
S 0.0109 0.5054 0.2316  1 Dy 2.81, 2 La 2.92

Values from the calculation:
uncorrected formation energy = -1.8814 eV/atom

| no. | N(E_F) (states/eV/f.u.) |
| --- | --- |
| 1 | 3.3 |
| 2 | 8.3 |
| 3 | 0.0 |